# 1
Compound: Er4PbS2
Source: Alexandria
Functional: PBE
Structure: relaxed

Output
The value obtained for the energy relative to the elements, uncorrected is -118.99 kJ per mole of atoms. As for the energy: -5.55 eV/atom. As for the mass density: 8.996 g cm⁻³.

a b c (Å): 3.772 3.772 14.257
angles (deg): 82.40 82.40 60.00
Element x y z (fractional)
Pb: 0.000 0.000 0.000
Er: 0.133 0.133 0.601
Er: 0.867 0.867 0.399
Er: 0.724 0.724 0.828
Er: 0.276 0.276 0.172
S: 0.573 0.573 0.281
S: 0.427 0.427 0.719

# 2
Compound: Ca2LaMn
Source: Alexandria
Functional: PBE
Structure: relaxed

Output
The value obtained for the formation enthalpy at 0 K is 438 meV/atom. As for the energy: -4.09 eV/atom. As for the mass density: 3.470 g cm⁻³.

a b c (Å): 6.183 6.924 3.539
angles (deg): 77.33 85.35 115.20
Element x y z (fractional)
Ca: 0.500 0.000 0.500
Ca: 0.000 0.000 0.000
Mn: 0.500 0.500 0.000
La: 0.000 0.500 0.500

# 3
Compound: KNa2AlZn
Source: Alexandria
Functional: PBE
Structure: relaxed

Output
The value obtained for the formation enthalpy at 0 K is 140 meV/atom. As for the energy: -1.61 eV/atom. As for the mass density: 1.820 g cm⁻³.

a b c (Å): 5.786 5.786 4.836
angles (deg): 90.00 90.00 90.00
Element x y z (fractional)
Al: 0.000 0.000 0.500
Na: 0.000 0.500 0.000
Na: 0.500 0.000 0.000
K: 0.500 0.500 0.500
Zn: 0.000 0.000 0.000

# 4
Compound: Be2ZnW
Source: Alexandria
Functional: PBE
Structure: relaxed

Output
The value obtained for the formation enthalpy at 0 K is 328 meV/atom. As for the energy: -5.09 eV/atom. As for the mass density: 8.638 g cm⁻³.

a b c (Å): 4.431 4.431 4.758
angles (deg): 77.59 77.59 34.36
Element x y z (fractional)
Be: 0.994 0.994 0.950
Be: 0.506 0.506 0.550
W: 0.750 0.750 0.750
Zn: 0.250 0.250 0.250

# 5
Compound: ScReRu2
Source: Alexandria
Functional: PBE
Structure: relaxed

Output
The value obtained for the formation enthalpy at 0 K is 32 meV/atom. As for the energy: -9.30 eV/atom. As for the mass density: 11.348 g cm⁻³.

a b c (Å): 2.864 4.248 5.211
angles (deg): 90.00 90.00 90.00
Element x y z (fractional)
Sc: 0.000 0.000 0.459
Ru: 0.000 0.000 0.954
Ru: 0.500 0.500 0.306
Re: 0.500 0.500 0.781

# 6
Compound: AcLaTb6Y2
Source: Alexandria
Functional: PBE
Structure: relaxed

Output
The value obtained for the formation enthalpy at 0 K is 132 meV/atom. As for the energy: -4.84 eV/atom. As for the mass density: 7.231 g cm⁻³.

a b c (Å): 9.558 8.969 8.969
angles (deg): 116.27 92.23 92.23
Element x y z (fractional)
Y: 0.554 0.201 0.306
Y: 0.446 0.799 0.694
Y: 0.054 0.306 0.201
Y: 0.946 0.694 0.799
Tb: 0.324 0.991 0.454
Tb: 0.176 0.546 0.009
Tb: 0.561 0.758 0.110
Tb: 0.439 0.242 0.890
Tb: 0.887 0.290 0.528
Tb: 0.613 0.472 0.710
Tb: 0.113 0.710 0.472
Tb: 0.061 0.110 0.758
Tb: 0.939 0.890 0.242
Tb: 0.387 0.528 0.290
Tb: 0.676 0.009 0.546
Tb: 0.824 0.454 0.991
La: 0.750 0.589 0.411
La: 0.250 0.411 0.589
Ac: 0.750 0.044 0.956
Ac: 0.250 0.956 0.044